# NaMg2Pt PBE relaxed
# - raw total energy (eV per atom) = -3.036
data_NaMg2Pt
_chemical_formula_sum 'Na1 Mg2 Pt1'
_cell_length_a 3.2116
_cell_length_b 3.2116
_cell_length_c 8.5114
_cell_angle_alpha 90.00
_cell_angle_beta 90.00
_cell_angle_gamma 90.00
_symmetry_space_group_name_H-M 'P 4/m m m'
_symmetry_Int_Tables_number 123
_symmetry_space_group_name_Hall '-P 4 2'
loop_
_atom_site_label
_atom_site_type_symbol
_atom_site_fract_x
_atom_site_fract_y
_atom_site_fract_z
Na1 Na 0.0000 0.0000 0.0000
Mg1 Mg 0.5000 0.5000 0.3205
Pt1 Pt 0.0000 0.0000 0.5000